(1)
ZnMoCl2 | PBE | optimized geometry

Output
- E above lowest polymorph (eV per atom) = 0.842
- space-group type = No. 65
- raw formation energy (eV/atom) = 0.5187
- N(E_F) (states/eV/atom) = 0.742
- volume (Å³/atom) = 19.0

```
4
Lattice="3.031 -3.778 0.000 3.031 3.778 0.000 0.000 0.000 3.313" Properties=species:S:1:pos:R:3 pbc="T T T"
Zn 0.000 0.000 0.000
Mo 3.031 0.000 0.000
Cl 1.516 1.889 1.656
Cl 1.516 -1.889 1.656
```


(2)
Pr2Y2Ag3 | PBE | optimized geometry

Output
- space-group type = No. 2
- ΔH_f (0 K) (meV/atom) = -143
- N(E_F) (states/eV/atom) = 1.235
- volume (Å³/atom) = 28.1

```
7
Lattice="5.149 0.000 0.000 2.567 4.476 0.000 2.544 1.474 8.524" Properties=species:S:1:pos:R:3 pbc="T T T"
Pr 1.279 0.745 1.009
Pr 8.980 5.205 7.516
Y 3.845 2.232 3.171
Y 6.414 3.718 5.354
Ag 1.272 0.737 4.262
Ag 3.836 2.222 6.263
Ag 6.423 3.728 2.261
```


(3)
DyCdHg | PBE | optimized geometry

Output
- space-group type = No. 129
- ΔH_f (0 K) (meV/atom) = -190
- N(E_F) (states/eV/atom) = 0.919
- volume (Å³/atom) = 25.4

```
6
Lattice="3.622 0.000 0.000 0.000 3.622 0.000 0.000 0.000 11.605" Properties=species:S:1:pos:R:3 pbc="T T T"
Dy 0.906 0.906 1.241
Dy 2.717 2.717 10.364
Cd 0.906 0.906 4.911
Cd 2.717 2.717 6.694
Hg 0.906 0.906 8.474
Hg 2.717 2.717 3.131
```


(4)
La2PmSm2Cd5 | PBE | optimized geometry

Output
- space-group type = No. 127
- ΔH_f (0 K) (meV/atom) = -208
- N(E_F) (states/eV/atom) = 0.657
- volume (Å³/atom) = 28.7

```
20
Lattice="10.801 0.000 0.000 0.000 10.801 0.000 0.000 0.000 4.912" Properties=species:S:1:pos:R:3 pbc="T T T"
La 1.901 3.500 0.000
La 3.500 8.900 0.000
La 7.302 1.901 0.000
La 8.900 7.302 0.000
Pm 0.000 0.000 0.000
Pm 5.401 5.401 0.000
Sm 1.338 6.739 0.000
Sm 4.062 1.338 0.000
Sm 6.739 9.463 0.000
Sm 9.463 4.062 0.000
Cd 0.000 5.401 2.456
Cd 0.745 8.707 2.456
Cd 2.095 0.745 2.456
Cd 3.306 6.146 2.456
Cd 4.656 3.306 2.456
Cd 5.401 0.000 2.456
Cd 6.146 7.496 2.456
Cd 7.496 4.656 2.456
Cd 8.707 10.057 2.456
Cd 10.057 2.095 2.456
```


(5)
U4TlPt3S12 | PBE | optimized geometry

Output
- space-group type = No. 204
- raw formation energy (eV/atom) = -0.8445
- N(E_F) (states/eV/atom) = 1.226
- volume (Å³/atom) = 23.4

```
20
Lattice="-4.888 4.888 4.888 4.888 -4.888 4.888 4.888 4.888 -4.888" Properties=species:S:1:pos:R:3 pbc="T T T"
U 2.444 2.444 -2.444
U 2.444 -2.444 2.444
U -2.444 2.444 2.444
U 2.444 2.444 2.444
Tl 0.000 0.000 0.000
Pt 4.888 0.000 0.000
Pt 0.000 4.888 0.000
Pt 0.000 0.000 4.888
S 4.888 3.304 -1.749
S 3.139 0.000 1.584
S 6.637 0.000 1.584
S 1.584 3.139 0.000
S 3.304 -1.749 4.888
S 0.000 1.584 3.139
S 4.888 3.304 1.749
S 1.584 6.637 0.000
S 3.304 1.749 4.888
S -1.749 4.888 3.304
S 1.749 4.888 3.304
S 0.000 1.584 6.637
```


(6)
LiHoPd6 | PBE | optimized geometry

Output
- E above lowest polymorph (eV per atom) = 0.000
- space-group type = No. 123
- ΔH_f (0 K) (meV/atom) = -556
- N(E_F) (states/eV/atom) = 1.113
- volume (Å³/atom) = 16.2

```
8
Lattice="4.065 0.000 0.000 0.000 4.065 0.000 0.000 0.000 7.825" Properties=species:S:1:pos:R:3 pbc="T T T"
Li 0.000 0.000 0.000
Ho 0.000 0.000 3.913
Pd 0.000 2.033 1.853
Pd 0.000 2.033 5.973
Pd 2.033 0.000 1.853
Pd 2.033 0.000 5.973
Pd 2.033 2.033 0.000
Pd 2.033 2.033 3.913
```


(7)
InSnPd14 | PBE | optimized geometry

Output
- space-group type = No. 123
- ΔH_f (0 K) (meV/atom) = -233
- N(E_F) (states/eV/atom) = 1.726
- volume (Å³/atom) = 15.9

```
16
Lattice="5.735 0.000 0.000 0.000 5.735 0.000 0.000 0.000 7.743" Properties=species:S:1:pos:R:3 pbc="T T T"
In 0.000 0.000 0.000
Sn 2.868 2.868 0.000
Pd 0.000 0.000 3.871
Pd 0.000 2.868 0.000
Pd 0.000 2.868 3.871
Pd 1.438 1.438 1.946
Pd 1.438 1.438 5.796
Pd 1.438 4.297 1.946
Pd 1.438 4.297 5.796
Pd 2.868 0.000 0.000
Pd 2.868 0.000 3.871
Pd 2.868 2.868 3.871
Pd 4.297 1.438 1.946
Pd 4.297 1.438 5.796
Pd 4.297 4.297 1.946
Pd 4.297 4.297 5.796
```


(8)
ZrBiPtO6 | PBE | optimized geometry

Output
- space-group type = No. 102
- raw formation energy (eV/atom) = -1.5367
- N(E_F) (states/eV/atom) = 0.462
- volume (Å³/atom) = 13.5

```
18
Lattice="4.936 0.000 0.000 0.000 4.936 0.000 0.000 0.000 10.000" Properties=species:S:1:pos:R:3 pbc="T T T"
Zr 0.000 0.000 0.000
Zr 2.468 2.468 5.000
Bi 0.000 0.000 6.708
Bi 2.468 2.468 1.708
Pt 0.000 0.000 3.381
Pt 2.468 2.468 8.381
O 0.870 0.870 1.754
O 0.954 0.954 4.889
O 1.040 1.040 8.492
O 1.429 3.508 3.492
O 1.514 3.422 9.889
O 1.598 3.338 6.754
O 3.338 1.598 6.754
O 3.422 1.514 9.889
O 3.508 1.429 3.492
O 3.897 3.897 8.492
O 3.982 3.982 4.889
O 4.067 4.067 1.754
```